(1)
TaAgW2, relaxed, DFT PBE-GGA; formation energy = 115.73 kJ/mol of atoms; relative energy among the computed polymorphs = 979 meV per atom
1.0
-3.683 3.683 2.727
3.683 -3.683 2.727
3.683 3.683 -2.727
Ta Ag W
2 2 4
Direct
0.000 0.000 0.000
0.750 0.250 0.500
0.250 0.750 0.500
0.500 0.500 0.000
0.124 0.125 0.499
0.375 0.876 0.001
0.626 0.625 0.501
0.875 0.374 0.999

(2)
GdPu2Au, relaxed, DFT PBE-GGA; formation energy = -17.75 kJ/mol of atoms; relative energy among the computed polymorphs = 0 meV per atom
1.0
4.353 0.000 0.000
0.000 4.353 0.000
0.000 0.000 5.341
Gd Pu Au
1 2 1
Direct
0.000 0.000 0.000
0.000 0.500 0.500
0.500 0.000 0.500
0.500 0.500 0.000

(3)
LiAg3, relaxed, DFT PBE-GGA; formation energy = -10.69 kJ/mol of atoms
1.0
4.758 -1.493 0.000
4.758 1.493 0.000
-0.881 0.000 4.861
Li Ag
1 3
Direct
0.000 0.000 0.000
0.249 0.249 0.753
0.500 0.500 0.500
0.751 0.751 0.247

(4)
Zr3CoTc, relaxed, DFT PBE-GGA; formation energy = 47.01 kJ/mol of atoms; relative energy among the computed polymorphs = 0 meV per atom
1.0
4.729 0.000 0.000
0.000 4.729 0.000
0.000 0.000 4.729
Zr Co Tc
3 1 1
Direct
0.000 0.000 0.500
0.000 0.500 0.000
0.500 0.000 0.000
0.000 0.000 0.000
0.500 0.500 0.500

(5)
MoPd3Pt, relaxed, DFT PBE-GGA; formation energy = 14.74 kJ/mol of atoms; relative energy among the computed polymorphs = 52 meV per atom
1.0
9.365 0.000 0.000
0.000 2.731 0.000
0.000 0.000 6.584
Mo Pd Pt
2 6 2
Direct
0.250 0.000 0.087
0.750 0.000 0.913
0.000 0.500 0.000
0.109 0.500 0.382
0.391 0.500 0.382
0.500 0.500 0.000
0.609 0.500 0.618
0.891 0.500 0.618
0.250 0.500 0.743
0.750 0.500 0.257

(6)
Ba2HgP, relaxed, DFT PBE-GGA; formation energy = -61.69 kJ/mol of atoms; relative energy among the computed polymorphs = 124 meV per atom
1.0
0.000 4.048 4.048
4.048 0.000 4.048
4.048 4.048 0.000
Ba Hg P
2 1 1
Direct
0.250 0.250 0.250
0.750 0.750 0.750
0.000 0.000 0.000
0.500 0.500 0.500

(7)
BeMoPt, relaxed, DFT PBE-GGA; formation energy = 15.05 kJ/mol of atoms; relative energy among the computed polymorphs = 562 meV per atom
1.0
4.344 0.000 0.000
-2.172 3.762 0.000
0.000 0.000 5.378
Be Mo Pt
2 2 2
Direct
0.000 0.000 0.000
0.000 0.000 0.500
0.333 0.667 0.250
0.667 0.333 0.750
0.333 0.667 0.750
0.667 0.333 0.250

(8)
K4Pr3DyTe8, relaxed, DFT PBE-GGA; energy relative to the elements, uncorrected = -22.6 eV/f.u.
1.0
4.612 2.663 8.262
-4.612 2.663 8.262
0.000 -5.325 8.262
K Pr Dy Te
4 3 1 8
Direct
0.000 0.000 0.000
0.000 0.500 0.500
0.500 0.000 0.500
0.500 0.500 0.000
0.000 0.000 0.500
0.000 0.500 0.000
0.500 0.000 0.000
0.500 0.500 0.500
0.239 0.239 0.239
0.246 0.733 0.733
0.267 0.267 0.754
0.267 0.754 0.267
0.733 0.246 0.733
0.733 0.733 0.246
0.754 0.267 0.267
0.761 0.761 0.761

(9)
TaGe2Br, relaxed, DFT PBE-GGA; energy relative to the elements, uncorrected = 3.3 eV/f.u.; relative energy among the computed polymorphs = 60 meV per atom
1.0
0.000 3.390 3.390
3.390 0.000 3.390
3.390 3.390 0.000
Ta Ge Br
1 2 1
Direct
0.000 0.000 0.000
0.250 0.250 0.250
0.750 0.750 0.750
0.500 0.500 0.500

(10)
CeDy5P6, relaxed, DFT PBE-GGA; formation energy = -154.65 kJ/mol of atoms
1.0
3.478 -6.024 0.000
3.478 6.024 0.000
-2.318 0.000 6.560
Ce Dy P
1 5 6
Direct
0.000 0.000 0.000
0.167 0.833 0.500
0.333 0.667 0.000
0.500 0.500 0.500
0.667 0.333 0.000
0.833 0.167 0.500
0.083 0.417 0.251
0.250 0.250 0.751
0.417 0.083 0.251
0.583 0.917 0.749
0.750 0.750 0.249
0.917 0.583 0.749

(11)
LaSi2P, relaxed, DFT PBE-GGA; energy relative to the elements, uncorrected = -0.7 eV/f.u.
1.0
0.000 2.899 5.299
2.880 0.000 5.299
2.880 2.899 0.000
La Si P
1 2 1
Direct
0.000 0.000 0.000
0.000 0.500 0.000
0.500 0.000 0.500
0.500 0.500 0.500

(12)
NaAg2IrCl8, relaxed, DFT PBE-GGA; energy relative to the elements, uncorrected = -7.7 eV/f.u.
1.0
6.477 0.000 0.000
0.000 7.787 0.000
-2.789 0.000 6.176
Na Ag Ir Cl
1 2 1 8
Direct
0.000 0.000 0.000
0.000 0.235 0.500
0.000 0.765 0.500
0.000 0.500 0.000
0.190 0.500 0.774
0.243 0.000 0.747
0.245 0.290 0.223
0.245 0.710 0.223
0.755 0.290 0.777
0.755 0.710 0.777
0.757 0.000 0.253
0.810 0.500 0.226

Number 11 is which compound? LaSi2P